1.
The following is a DFT calculation (GGA-PBEsol) of crystalline Y2NiTe at its relaxed geometry.

SG = No. 166
Formation energy (no corrections) = -0.80 eV/atom

abc: 3.987 3.987 7.508
angles: 74.60 74.60 60.00
Positions (direct):
Te 0.500 0.500 0.500
Ni 0.000 0.000 0.000
Y 0.736 0.736 0.792
Y 0.264 0.264 0.208

***

2.
The following is a DFT calculation (GGA-PBEsol) of crystalline AgRuSe2 at its relaxed geometry.

SG = No. 65
Formation energy (no corrections) = 0.33 eV/atom
Energy relative to the lowest polymorph listed for this composition = 0.1518 eV per atom

abc: 2.931 2.869 9.877
angles: 90.00 90.00 120.72
Positions (direct):
Se 0.000 0.000 0.206
Se 0.000 0.000 0.794
Ru 0.500 0.000 0.000
Ag 0.500 0.000 0.500

***

3.
The following is a DFT calculation (GGA-PBEsol) of crystalline YCuOs at its relaxed geometry.

Formation enthalpy at 0 K = 1.879 eV/f.u.
SG = No. 156
Energy relative to the lowest polymorph listed for this composition = 0.1596 eV per atom

abc: 2.830 2.830 7.105
angles: 90.00 90.00 120.00
Positions (direct):
Os 0.333 0.667 0.689
Y 0.667 0.333 0.333
Cu 0.000 0.000 0.978

***

4.
The following is a DFT calculation (GGA-PBEsol) of crystalline Tb3CuSiSe7 at its relaxed geometry.

SG = No. 173
Formation energy (no corrections) = -1.35 eV/atom

abc: 5.894 10.222 10.222
angles: 120.00 90.00 90.00
Positions (direct):
Se 0.782 0.835 0.739
Se 0.520 0.579 0.098
Se 0.782 0.903 0.165
Se 0.782 0.261 0.097
Se 0.020 0.481 0.579
Se 0.520 0.519 0.421
Se 0.557 0.333 0.667
Se 0.057 0.667 0.333
Se 0.282 0.097 0.835
Se 0.020 0.098 0.519
Se 0.520 0.902 0.481
Se 0.282 0.165 0.261
Se 0.282 0.739 0.903
Se 0.020 0.421 0.902
Si 0.675 0.667 0.333
Si 0.175 0.333 0.667
Tb 0.763 0.645 0.870
Tb 0.263 0.355 0.130
Tb 0.263 0.870 0.225
Tb 0.763 0.225 0.355
Tb 0.763 0.130 0.775
Tb 0.263 0.775 0.645
Cu 0.297 0.000 0.000
Cu 0.797 0.000 0.000